a | First-principles (PBE) data for crystalline Ba2LiZn2 at its relaxed geometry, as listed in Alexandria.

a = 8.7837 Å, b = 8.7837 Å, c = 4.5291 Å
α = 90.00°, β = 90.00°, γ = 90.00°
Space group P4/mbm (No. 127)
Asymmetric unit:
Ba (0.1857, 0.3143, 0.0000)
Li (0.0000, 0.0000, 0.5000)
Zn (0.1076, 0.6076, 0.5000)

Summary:
Density, g/cm³: 3.92


b | First-principles (PBE) data for crystalline Ba2LiZn2 at its relaxed geometry, as listed in Alexandria.

a = 11.2684 Å, b = 6.4914 Å, c = 9.3848 Å
α = 90.00°, β = 104.39°, γ = 90.00°
Space group C2/c (No. 15)
Asymmetric unit:
Ba (0.1453, 0.1587, 0.1435)
Li (0.0000, 0.3734, 0.7500)
Zn (0.1467, 0.3501, 0.4992)

Summary:
Density, g/cm³: 4.12


Of them, the most stable is b and the least stable is a.


a | First-principles (PBE) data for crystalline Ba2LiZn2 at its relaxed geometry, as listed in Alexandria.

a = 6.5158 Å, b = 6.5158 Å, c = 8.4173 Å
α = 90.00°, β = 90.00°, γ = 90.00°
Space group I4/mmm (No. 139)
Asymmetric unit:
Ba (0.0000, 0.5000, 0.2500)
Li (0.0000, 0.0000, 0.0000)
Zn (0.0000, 0.0000, 0.3550)

Summary:
Density, g/cm³: 3.83


b | First-principles (PBE) data for crystalline Ba2LiZn2 at its relaxed geometry, as listed in Alexandria.

a = 9.5269 Å, b = 9.5269 Å, c = 3.9471 Å
α = 90.00°, β = 90.00°, γ = 90.00°
Space group P4/mbm (No. 127)
Asymmetric unit:
Ba (0.1532, 0.3468, 0.0000)
Li (0.0000, 0.0000, 0.0000)
Zn (0.1363, 0.6363, 0.5000)

Summary:
Density, g/cm³: 3.82


Of them, the most stable is a and the least stable is b.


a | First-principles (PBE) data for crystalline Ba2LiZn2 at its relaxed geometry, as listed in Alexandria.

a = 4.5560 Å, b = 4.5560 Å, c = 30.0007 Å
α = 90.00°, β = 90.00°, γ = 120.00°
Space group R-3m (No. 166, hexagonal axes)
Asymmetric unit:
Ba (0.0000, 0.0000, 0.0719)
Li (0.0000, 0.0000, 0.5000)
Zn (0.0000, 0.0000, 0.1820)

Summary:
Density, g/cm³: 3.81


b | First-principles (PBE) data for crystalline Ba2LiZn2 at its relaxed geometry, as listed in Alexandria.

a = 4.1940 Å, b = 4.1940 Å, c = 20.3441 Å
α = 90.00°, β = 90.00°, γ = 90.00°
Space group I4/mmm (No. 139)
Asymmetric unit:
Ba (0.0000, 0.0000, 0.1173)
Li (0.0000, 0.0000, 0.5000)
Zn (0.0000, 0.5000, 0.2500)

Summary:
Density, g/cm³: 3.83


Of them, the most stable is a and the least stable is b.


a | First-principles (PBE) data for crystalline BaLi4Zn at its relaxed geometry, as listed in Alexandria.

a = 13.7208 Å, b = 8.2813 Å, c = 5.4254 Å
α = 90.00°, β = 98.92°, γ = 90.00°
Space group C2/c (No. 15)
Asymmetric unit:
Ba (0.0000, 0.1872, 0.2500)
Li (0.1146, 0.4204, 0.7510)
Li (0.2131, 0.0881, 0.9128)
Zn (0.2500, 0.2500, 0.5000)

Summary:
Density, g/cm³: 2.51


b | First-principles (PBE) data for crystalline BaLi4Zn at its relaxed geometry, as listed in Alexandria.

a = 5.0412 Å, b = 5.0412 Å, c = 7.6217 Å
α = 90.00°, β = 90.17°, γ = 90.00°
Space group P2/m (No. 10)
Asymmetric unit:
Ba (0.0000, 0.0000, 0.0000)
Li (0.0000, 0.5000, 0.5000)
Li (0.4994, 0.5000, 0.8189)
Li (0.5000, 0.0000, 0.5000)
Zn (0.5000, 0.5000, 0.5000)

Summary:
Density, g/cm³: 1.98


Of them, the most stable is a and the least stable is b.


a | First-principles (PBE) data for crystalline BaLiZn3 at its relaxed geometry, as listed in Alexandria.

a = 4.9522 Å, b = 4.9522 Å, c = 4.9522 Å
α = 90.00°, β = 90.00°, γ = 90.00°
Space group Pm-3m (No. 221)
Asymmetric unit:
Ba (0.0000, 0.0000, 0.0000)
Li (0.5000, 0.5000, 0.5000)
Zn (0.0000, 0.5000, 0.5000)

Summary:
Density, g/cm³: 4.66


b | First-principles (PBE) data for crystalline BaLiZn3 at its relaxed geometry, as listed in Alexandria.

a = 9.8029 Å, b = 4.4261 Å, c = 11.1603 Å
α = 90.00°, β = 90.00°, γ = 90.00°
Space group Pnma (No. 62)
Asymmetric unit:
Ba (0.1685, 0.2500, 0.0671)
Li (0.0487, 0.2500, 0.4048)
Zn (0.0711, 0.2500, 0.7179)
Zn (0.1603, 0.7500, 0.8181)
Zn (0.1833, 0.7500, 0.3014)

Summary:
Density, g/cm³: 4.67


c | First-principles (PBE) data for crystalline BaLiZn3 at its relaxed geometry, as listed in Alexandria.

a = 6.1774 Å, b = 6.1774 Å, c = 6.1774 Å
α = 90.00°, β = 90.00°, γ = 90.00°
Space group Pm-3m (No. 221)
Asymmetric unit:
Ba (0.0000, 0.0000, 0.0000)
Li (0.5000, 0.5000, 0.5000)
Zn (0.0000, 0.0000, 0.5000)

Summary:
Density, g/cm³: 2.40


Of them, the most stable is b and the least stable is c.


a | First-principles (PBE) data for crystalline Ba4LiZn at its relaxed geometry, as listed in Alexandria.

a = 10.8003 Å, b = 10.8003 Å, c = 10.8003 Å
α = 90.00°, β = 90.00°, γ = 90.00°
Space group F-43m (No. 216)
Asymmetric unit:
Ba (0.1254, 0.1254, 0.1254)
Li (0.2500, 0.2500, 0.7500)
Zn (0.0000, 0.0000, 0.5000)

Summary:
Density, g/cm³: 3.28


b | First-principles (PBE) data for crystalline Ba4LiZn at its relaxed geometry, as listed in Alexandria.

a = 5.9220 Å, b = 5.9220 Å, c = 8.5032 Å
α = 90.00°, β = 90.00°, γ = 90.00°
Space group P4/mmm (No. 123)
Asymmetric unit:
Ba (0.0000, 0.5000, 0.2318)
Li (0.0000, 0.0000, 0.5000)
Zn (0.5000, 0.5000, 0.0000)

Summary:
Density, g/cm³: 3.46


c | First-principles (PBE) data for crystalline Ba4LiZn at its relaxed geometry, as listed in Alexandria.

a = 4.2683 Å, b = 4.2683 Å, c = 15.2402 Å
α = 90.00°, β = 90.00°, γ = 90.00°
Space group P4/mmm (No. 123)
Asymmetric unit:
Ba (0.0000, 0.0000, 0.1246)
Ba (0.5000, 0.5000, 0.3562)
Li (0.0000, 0.0000, 0.5000)
Zn (0.5000, 0.5000, 0.0000)

Summary:
Density, g/cm³: 3.72


Of them, the most stable is c and the least stable is a.